1.
Computed, not measured: a relaxed structure of ScTaCuSi at the PBE level of DFT.

Cell and atoms, written as CIF:
```
data_ScTaCuSi
_space_group_name_H-M_alt 'F -4 3 m'
_space_group_IT_number 216
_space_group_name_Hall 'F -4 2 3'
_cell_length_a 6.3342
_cell_length_b 6.3342
_cell_length_c 6.3342
_cell_angle_alpha 90.00
_cell_angle_beta 90.00
_cell_angle_gamma 90.00
loop_
_atom_site_label
_atom_site_fract_x
_atom_site_fract_y
_atom_site_fract_z
Sc1 0.0000 0.0000 0.0000
Ta1 0.2500 0.2500 0.2500
Cu1 0.2500 0.2500 0.7500
Si1 0.0000 0.0000 0.5000
```

Properties
The calculation puts the energy above the most stable polymorph in this dataset at 0.0 meV per atom. The calculation puts the total magnetic moment at 0.0 μB per formula unit.



2.
Computed, not measured: a relaxed structure of MgZrSe2 at the PBE level of DFT.

Cell and atoms, written as CIF:
```
data_MgZrSe2
_space_group_name_H-M_alt 'P 63/m m c'
_space_group_IT_number 194
_space_group_name_Hall '-P 6c 2c'
_cell_length_a 3.7661
_cell_length_b 3.7661
_cell_length_c 13.3521
_cell_angle_alpha 90.00
_cell_angle_beta 90.00
_cell_angle_gamma 120.00
loop_
_atom_site_label
_atom_site_fract_x
_atom_site_fract_y
_atom_site_fract_z
Mg1 0.0000 0.0000 0.0000
Zr1 0.0000 0.0000 0.2500
Se1 0.3333 0.6667 0.1206
```

Properties
The value obtained for the electronic total energy is -5.50 eV per atom. The calculation puts the total magnetic moment at 0.0 μB per formula unit.